(1)
The following is a GGA-PBE calculation of a relaxed structure of Nd2DyHg, from Alexandria via LeMat-Bulk.

Results
* D(E_F): 1.450 states/eV per atom
* energy of formation: -74 meV per atom
* energy above the lowest structure with this stoichiometry: 154.7 meV per atom

abc: 5.5284 5.5284 5.5284
angles: 60.00 60.00 60.00
Fractional coordinates of all 4 atoms:
Nd1 0.2500 0.2500 0.2500
Nd2 0.7500 0.7500 0.7500
Dy1 0.0000 0.0000 0.0000
Hg1 0.5000 0.5000 0.5000

=====

(2)
The following is a GGA-PBE calculation of a relaxed structure of PmCdIr, from Alexandria via LeMat-Bulk.

Results
* D(E_F): 0.776 states/eV per atom
* energy of formation: -278 meV per atom
* energy above the lowest structure with this stoichiometry: 234.1 meV per atom

abc: 4.7312 4.7312 3.4724
angles: 90.00 90.00 120.00
Fractional coordinates of all 3 atoms:
Pm1 0.0000 0.0000 0.0000
Cd1 0.6667 0.3333 0.4997
Ir1 0.3333 0.6667 0.5015

=====

(3)
The following is a GGA-PBE calculation of a relaxed structure of Ho2PuMg6, from Alexandria via LeMat-Bulk.

Results
* D(E_F): 1.356 states/eV per atom
* energy of formation: -12 meV per atom

abc: 9.1068 9.1068 3.1759
angles: 90.00 90.00 120.00
Fractional coordinates of all 9 atoms:
Ho1 0.3333 0.6667 0.0000
Ho2 0.6667 0.3333 0.0000
Pu1 0.0000 0.0000 0.0000
Mg1 0.0000 0.3346 0.5000
Mg2 0.0000 0.6654 0.5000
Mg3 0.3346 0.0000 0.5000
Mg4 0.3346 0.3346 0.5000
Mg5 0.6654 0.0000 0.5000
Mg6 0.6654 0.6654 0.5000

=====

(4)
The following is a GGA-PBE calculation of a relaxed structure of Nd2EuO, from Alexandria via LeMat-Bulk.

Results
* ΔE_f (raw): -1.164 eV/atom
* D(E_F): 0.625 states/eV per atom

abc: 9.8557 9.8557 9.8557
angles: 21.57 21.57 21.57
Fractional coordinates of all 4 atoms:
Nd1 0.1202 0.1202 0.1202
Nd2 0.8798 0.8798 0.8798
Eu1 0.0000 0.0000 0.0000
O1 0.5000 0.5000 0.5000

=====

(5)
The following is a GGA-PBE calculation of a relaxed structure of PaVP2, from Alexandria via LeMat-Bulk.

Results
* D(E_F): 1.625 states/eV per atom
* energy of formation: 1 meV per atom
* energy above the lowest structure with this stoichiometry: 690.4 meV per atom

abc: 7.7899 7.7899 7.7899
angles: 30.96 30.96 30.96
Fractional coordinates of all 4 atoms:
Pa1 0.0000 0.0000 0.0000
V1 0.5000 0.5000 0.5000
P1 0.3933 0.3933 0.3933
P2 0.6067 0.6067 0.6067

=====

(6)
The following is a GGA-PBE calculation of a relaxed structure of AuSe3, from Alexandria via LeMat-Bulk.

Results
* ΔE_f (raw): 0.103 eV/atom
* D(E_F): 0.559 states/eV per atom

abc: 3.9062 3.9062 5.6405
angles: 90.00 90.00 90.00
Fractional coordinates of all 4 atoms:
Au1 0.0000 0.0000 0.0000
Se1 0.0000 0.0000 0.5000
Se2 0.5000 0.5000 0.0000
Se3 0.5000 0.5000 0.5000

=====

(7)
The following is a GGA-PBE calculation of a relaxed structure of Sm3CdPd12, from Alexandria via LeMat-Bulk.

Results
* D(E_F): 0.906 states/eV per atom
* energy of formation: -660 meV per atom

abc: 4.1407 4.1407 16.5325
angles: 90.00 90.00 90.00
Fractional coordinates of all 16 atoms:
Sm1 0.0000 0.0000 0.0000
Sm2 0.0000 0.0000 0.2553
Sm3 0.0000 0.0000 0.7447
Cd1 0.0000 0.0000 0.5000
Pd1 0.0000 0.5000 0.1268
Pd2 0.0000 0.5000 0.3811
Pd3 0.0000 0.5000 0.6189
Pd4 0.0000 0.5000 0.8732
Pd5 0.5000 0.0000 0.1268
Pd6 0.5000 0.0000 0.3811
Pd7 0.5000 0.0000 0.6189
Pd8 0.5000 0.0000 0.8732
Pd9 0.5000 0.5000 0.0000
Pd10 0.5000 0.5000 0.2532
Pd11 0.5000 0.5000 0.5000
Pd12 0.5000 0.5000 0.7468

=====

(8)
The following is a GGA-PBE calculation of a relaxed structure of Sc6Ga3Ag, from Alexandria via LeMat-Bulk.

Results
* D(E_F): 0.925 states/eV per atom
* energy of formation: -353 meV per atom
* energy above the lowest structure with this stoichiometry: 63.1 meV per atom

abc: 8.2230 10.9541 4.7256
angles: 90.00 90.00 90.00
Fractional coordinates of all 20 atoms:
Sc1 0.0037 0.2503 0.0000
Sc2 0.1607 0.0959 0.5000
Sc3 0.1761 0.4041 0.5000
Sc4 0.3239 0.9041 0.0000
Sc5 0.3393 0.5959 0.0000
Sc6 0.4963 0.7503 0.5000
Sc7 0.5037 0.2497 0.5000
Sc8 0.6607 0.4041 0.0000
Sc9 0.6761 0.0959 0.0000
Sc10 0.8239 0.5959 0.5000
Sc11 0.8393 0.9041 0.5000
Sc12 0.9963 0.7497 0.0000
Ga1 0.0000 0.0000 0.0000
Ga2 0.1635 0.7298 0.5000
Ga3 0.3365 0.2298 0.0000
Ga4 0.5000 0.5000 0.5000
Ga5 0.6635 0.7702 0.0000
Ga6 0.8365 0.2702 0.5000
Ag1 0.0000 0.5000 0.0000
Ag2 0.5000 0.0000 0.5000

=====

(9)
The following is a GGA-PBE calculation of a relaxed structure of ReBiN2F, from Alexandria via LeMat-Bulk.

Results
* ΔE_f (raw): 1.665 eV/atom
* D(E_F): 0.481 states/eV per atom
* energy above the lowest structure with this stoichiometry: 1594.4 meV per atom

abc: 4.3763 4.3763 4.2950
angles: 90.00 90.00 90.00
Fractional coordinates of all 5 atoms:
Re1 0.0000 0.0000 0.0000
Bi1 0.5000 0.5000 0.5000
N1 0.0000 0.5000 0.5000
N2 0.5000 0.0000 0.5000
F1 0.5000 0.5000 0.0000

=====

(10)
The following is a GGA-PBE calculation of a relaxed structure of Tm4Sb2H, from Alexandria via LeMat-Bulk.

Results
* D(E_F): 0.806 states/eV per atom
* energy above the lowest structure with this stoichiometry: 3.4 meV per atom

abc: 6.1831 6.2955 8.8382
angles: 90.00 107.83 90.00
Fractional coordinates of all 14 atoms:
Tm1 0.0399 0.0015 0.3042
Tm2 0.0399 0.4985 0.3042
Tm3 0.3488 0.7500 0.0554
Tm4 0.4306 0.7500 0.6577
Tm5 0.5694 0.2500 0.3423
Tm6 0.6512 0.2500 0.9446
Tm7 0.9601 0.5015 0.6958
Tm8 0.9601 0.9985 0.6958
Sb1 0.1955 0.2500 0.0260
Sb2 0.3517 0.2500 0.6055
Sb3 0.6483 0.7500 0.3945
Sb4 0.8045 0.7500 0.9740
H1 0.2028 0.7500 0.7989
H2 0.7972 0.2500 0.2011

=====

(11)
The following is a GGA-PBE calculation of a relaxed structure of Na2ReAsPd, from Alexandria via LeMat-Bulk.

Results
* D(E_F): 0.563 states/eV per atom
* energy of formation: 826 meV per atom

abc: 5.1630 5.1630 4.6725
angles: 90.00 90.00 90.00
Fractional coordinates of all 5 atoms:
Na1 0.0000 0.5000 0.0000
Na2 0.5000 0.0000 0.0000
Re1 0.0000 0.0000 0.5000
As1 0.0000 0.0000 0.0000
Pd1 0.5000 0.5000 0.5000

=====

(12)
The following is a GGA-PBE calculation of a relaxed structure of Dy6MnSi2S14, from Alexandria via LeMat-Bulk.

Results
* ΔE_f (raw): -1.592 eV/atom

abc: 9.8722 9.8722 5.6673
angles: 90.00 90.00 120.00
Fractional coordinates of all 23 atoms:
Dy1 0.0234 0.5615 0.0000
Dy2 0.3089 0.1041 0.5036
Dy3 0.4385 0.4619 0.0000
Dy4 0.5381 0.9766 0.0000
Dy5 0.7952 0.6911 0.5036
Dy6 0.8959 0.2048 0.5036
Mn1 0.6667 0.3333 0.2772
Si1 0.0000 0.0000 0.9185
Si2 0.3333 0.6667 0.4119
S1 0.0000 0.0000 0.2901
S2 0.0813 0.8541 0.7677
S3 0.1459 0.2272 0.7677
S4 0.1878 0.4392 0.2621
S5 0.2514 0.8122 0.2621
S6 0.3333 0.6667 0.7839
S7 0.4171 0.1758 0.0397
S8 0.5066 0.4233 0.5228
S9 0.5608 0.7486 0.2621
S10 0.5767 0.0833 0.5228
S11 0.7587 0.5829 0.0397
S12 0.7728 0.9187 0.7677
S13 0.8242 0.2413 0.0397
S14 0.9167 0.4934 0.5228